Below is a relaxed structure of LaV3W, with properties calculated at the PBE-GGA level.

Unit cell a=4.8026 b=4.8026 c=4.8026 alpha=90.00 beta=90.00 gamma=90.00
Positions (direct):
La 0.0000 0.0000 0.0000
V 0.0000 0.5000 0.5000
V 0.5000 0.0000 0.5000
V 0.5000 0.5000 0.0000
W 0.5000 0.5000 0.5000

Properties
V ... 22.15 Å³/atom
DOS(E_F) ... 10.32 states/eV/cell
Energy above the most stable polymorph in this dataset ... 0 meV per atom
Crystal system ... cubic
VASP energy ... -8.17 eV/atom